# PmMg2In2Ag2

A relaxed structure of PmMg2In2Ag2 (PBE-GGA, the Alexandria database).

Computed properties:
For the density of states at the Fermi level, the calculation gives 0.57 states/eV per atom. The space group is R-3m (166). The formation energy comes out at -252 meV per atom.

The structure in POSCAR format:
```
PmMg2In2Ag2
1.0
2.3603 1.3627 8.3236
-2.3603 1.3627 8.3236
0.0000 -2.7254 8.3236
Pm Mg In Ag
1 2 2 2
direct
0.0000 0.0000 0.0000
0.1376 0.1376 0.1376
0.8624 0.8624 0.8624
0.2628 0.2628 0.2628
0.7372 0.7372 0.7372
0.4380 0.4380 0.4380
0.5620 0.5620 0.5620
```

# PrMgInAg

A relaxed structure of PrMgInAg (PBE-GGA, the Alexandria database).

Computed properties:
For the density of states at the Fermi level, the calculation gives 0.39 states/eV per atom. The space group is F-43m (216). The formation energy comes out at -355 meV per atom.

The structure in POSCAR format:
```
PrMgInAg
1.0
0.0000 3.6572 3.6572
3.6572 0.0000 3.6572
3.6572 3.6572 0.0000
Pr Mg In Ag
1 1 1 1
direct
0.0000 0.0000 0.0000
0.5000 0.5000 0.5000
0.2500 0.2500 0.2500
0.7500 0.7500 0.7500
```

# PrMg2In2Ag2

A relaxed structure of PrMg2In2Ag2 (PBE-GGA, the Alexandria database).

Computed properties:
For the density of states at the Fermi level, the calculation gives 0.59 states/eV per atom. The space group is R-3m (166). The formation energy comes out at -262 meV per atom.

The structure in POSCAR format:
```
PrMg2In2Ag2
1.0
2.3625 1.3640 8.4499
-2.3625 1.3640 8.4499
0.0000 -2.7280 8.4499
Pr Mg In Ag
1 2 2 2
direct
0.0000 0.0000 0.0000
0.1380 0.1380 0.1380
0.8620 0.8620 0.8620
0.2610 0.2610 0.2610
0.7390 0.7390 0.7390
0.4392 0.4392 0.4392
0.5608 0.5608 0.5608
```

# Mg5In2AgPt2

A relaxed structure of Mg5In2AgPt2 (PBE-GGA, the Alexandria database).

Computed properties:
For the density of states at the Fermi level, the calculation gives 0.39 states/eV per atom. The space group is P4/mbm (127). The formation energy comes out at -400 meV per atom.

The structure in POSCAR format:
```
Mg5In2AgPt2
1.0
10.2537 0.0000 0.0000
0.0000 10.2537 0.0000
0.0000 0.0000 3.8467
Mg In Ag Pt
10 4 2 4
direct
0.0000 0.5000 0.0000
0.0728 0.2016 0.0000
0.2016 0.9272 0.0000
0.2984 0.4272 0.0000
0.4272 0.7016 0.0000
0.5000 0.0000 0.0000
0.5728 0.2984 0.0000
0.7016 0.5728 0.0000
0.7984 0.0728 0.0000
0.9272 0.7984 0.0000
0.1681 0.6681 0.5000
0.3319 0.1681 0.5000
0.6681 0.8319 0.5000
0.8319 0.3319 0.5000
0.0000 0.0000 0.5000
0.5000 0.5000 0.5000
0.1302 0.3698 0.5000
0.3698 0.8698 0.5000
0.6302 0.1302 0.5000
0.8698 0.6302 0.5000
```

# PuMg2In4Ag

A relaxed structure of PuMg2In4Ag (PBE-GGA, the Alexandria database).

Computed properties:
For the density of states at the Fermi level, the calculation gives 1.53 states/eV per atom. The space group is R-3m (166). The formation energy comes out at -89 meV per atom.

The structure in POSCAR format:
```
PuMg2In4Ag
1.0
2.5157 1.4524 8.6891
-2.5157 1.4524 8.6891
0.0000 -2.9048 8.6891
Pu Mg In Ag
1 2 4 1
direct
0.0000 0.0000 0.0000
0.2542 0.2542 0.2542
0.7458 0.7458 0.7458
0.1289 0.1289 0.1289
0.3846 0.3846 0.3846
0.6154 0.6154 0.6154
0.8711 0.8711 0.8711
0.5000 0.5000 0.5000
```

# PuMg2In2Ag2

A relaxed structure of PuMg2In2Ag2 (PBE-GGA, the Alexandria database).

Computed properties:
For the density of states at the Fermi level, the calculation gives 2.34 states/eV per atom. The space group is R-3m (166). The formation energy comes out at -86 meV per atom.

The structure in POSCAR format:
```
PuMg2In2Ag2
1.0
2.3539 1.3590 8.3657
-2.3539 1.3590 8.3657
0.0000 -2.7180 8.3657
Pu Mg In Ag
1 2 2 2
direct
0.0000 0.0000 0.0000
0.1378 0.1378 0.1378
0.8622 0.8622 0.8622
0.2636 0.2636 0.2636
0.7364 0.7364 0.7364
0.4392 0.4392 0.4392
0.5608 0.5608 0.5608
```